A plane-wave DFT calculation with PBE was carried out for an optimized crystal structure of Co2ReSi.

abc: 3.6106 3.6106 8.4511
angles: 77.67 77.67 90.00
Closest atoms and distances in Å follow each position.
Element x y z (fractional)
Re: 0.7500 0.2500 0.5000  4 Co 2.41, 4 Si 2.55
Re: 0.0000 0.0000 0.0000  4 Co 2.41, 4 Si 2.55
Co: 0.6062 0.1250 0.2500  2 Si 2.36, 2 Re 2.41, 2 Co 2.46
Co: 0.8750 0.8562 0.7500  2 Si 2.36, 2 Re 2.41, 2 Co 2.46
Co: 0.3750 0.3938 0.7500  2 Si 2.36, 2 Re 2.41, 2 Co 2.46
Co: 0.1438 0.6250 0.2500  2 Si 2.36, 2 Re 2.41, 2 Co 2.46
Si: 0.2500 0.7500 0.5000  4 Co 2.36, 4 Re 2.55
Si: 0.5000 0.5000 0.0000  4 Co 2.36, 4 Re 2.55

Its space-group type is I-42d (122). The calculation puts the energy relative to the elements, uncorrected at 370.5 meV/atom.